[1]
Below is a relaxed PaGaPt4 crystal, with properties calculated at the PBE-GGA level.

```
data_PaGaPt4
_space_group_name_H-M_alt 'P 1 2/m 1'
_space_group_IT_number 10
_cell_length_a 4.005
_cell_length_b 4.005
_cell_length_c 7.335
_cell_angle_alpha 90.00
_cell_angle_beta 90.22
_cell_angle_gamma 90.00
loop_
_space_group_symop_operation_xyz
'x,y,z'
'-x,-y,-z'
'-x,y,-z'
'x,-y,z'
loop_
_atom_site_label
_atom_site_fract_x
_atom_site_fract_y
_atom_site_fract_z
_atom_site_occupancy
Pa1 0.000 0.000 0.000 1
Ga1 0.500 0.500 0.500 1
Pt1 0.001 0.500 0.726 1
Pt2 0.500 0.000 0.274 1
```

Results
Energy above the lowest structure with this stoichiometry (eV per atom): 0.000
Formation energy (eV per formula unit): -4.64
Calculated total energy (eV/atom): -6.887
V (A^3/atom): 19.61

[2]
Below is a relaxed BaPS2 crystal, with properties calculated at the PBE-GGA level.

```
data_BaPS2
_space_group_name_H-M_alt 'R -3 m'
_space_group_IT_number 166
_space_group_name_Hall '-R 3 2"'
_cell_length_a 4.8846
_cell_length_b 4.8846
_cell_length_c 22.2383
_cell_angle_alpha 90.00
_cell_angle_beta 90.00
_cell_angle_gamma 120.00
loop_
_atom_site_label
_atom_site_fract_x
_atom_site_fract_y
_atom_site_fract_z
_atom_site_occupancy
Ba1 0.0000 0.0000 0.0000 1
P1 0.0000 0.0000 0.5000 1
S1 0.0000 0.0000 0.3998 1
```

Results
Raw formation energy (meV per atom): -465
Calculated total energy (eV/atom): -4.362
V (A^3/atom): 38.29

- What is the formula in the second record?
  BaPS2

- What is the V in the second record?
  38.29 A^3/atom

- The highest V belongs to which entry?
  BaPS2

- The lowest calculated total energy belongs to which entry?
  PaGaPt4